Record 1
BeTcP2: relaxed, PBE-GGA.

Cell lengths 4.5765, 4.5765, 3.8459 Å; angles 90.08, 90.08, 39.37 degrees
Element x y z (fractional)
Be  0.0000  0.0000  0.0000
Tc  0.1693  0.1693  0.5097
P  0.4553  0.4553  0.4298
P  0.7500  0.7500  0.9992

Electronic total energy, eV per atom: -6.41
E_form, eV per atom: -0.18
DOS(E_F), states/eV/cell: 1.37

***

Record 2
InGe2Te3: relaxed, PBE-GGA.

Cell lengths 7.5401, 7.5401, 7.5401 Å; angles 146.72, 132.85, 58.93 degrees
Element x y z (fractional)
In  0.0000  0.0000  0.0000
Ge  0.3324  0.3324  0.0000
Ge  0.6676  0.6676  0.0000
Te  0.1759  0.6759  0.5000
Te  0.5000  0.0000  0.5000
Te  0.8241  0.3241  0.5000

Electronic total energy, eV per atom: -3.70
ΔE_f (raw), kJ/mol of atoms: -12.7
DOS(E_F), states/eV/cell: 2.11

***

Record 3
Ac6Co2Br3N: relaxed, PBE-GGA.

Cell lengths 7.1735, 7.1735, 8.5695 Å; angles 98.01, 98.01, 120.19 degrees
Element x y z (fractional)
Ac  0.0626  0.3828  0.1857
Ac  0.2566  0.2566  0.8148
Ac  0.3828  0.0626  0.1857
Ac  0.6172  0.9374  0.8143
Ac  0.7434  0.7434  0.1852
Ac  0.9374  0.6172  0.8143
Co  0.3337  0.6663  0.0000
Co  0.6663  0.3337  0.0000
Br  0.1717  0.8283  0.5000
Br  0.5000  0.5000  0.5000
Br  0.8283  0.1717  0.5000
N  0.0000  0.0000  0.0000

Electronic total energy, eV per atom: -5.26
ΔE_f (raw), kJ/mol of atoms: -88.2
DOS(E_F), states/eV/cell: 0.70

***

Record 4
Na2GaTe2: relaxed, PBE-GGA.

Cell lengths 8.6228, 8.6228, 6.9245 Å; angles 90.00, 90.00, 144.93 degrees
Element x y z (fractional)
Na  0.0100  0.9900  0.5000
Na  0.2012  0.7988  0.7573
Na  0.7988  0.2012  0.2573
Na  0.9900  0.0100  0.0000
Ga  0.3993  0.6007  0.6708
Ga  0.6007  0.3993  0.1708
Te  0.1618  0.8382  0.2336
Te  0.4330  0.5670  0.2682
Te  0.5670  0.4330  0.7682
Te  0.8382  0.1618  0.7336

Electronic total energy, eV per atom: -3.04
ΔE_f (raw), kJ/mol of atoms: -62.4
DOS(E_F), states/eV/cell: 0.36
Energy above the lowest structure with this stoichiometry, eV/atom: 0.0000

***

Which formula does entry 1 have? BeTcP2